La2Al7Cu meta-GGA SCAN PBEsol geometry; energy = -16.04 eV/atom; energy of formation = -0.475 eV/atom; total magnetic moment = 0.0 μB/cell
1.0
4.2765 0.0000 0.0000
0.0000 4.2765 0.0000
0.0000 0.0000 10.8876
La Al Cu
2 7 1
Cartesian
0.0000 0.0000 0.0000
2.1382 2.1382 5.4156
0.0000 0.0000 4.1635
0.0000 0.0000 6.6952
0.0000 2.1382 2.5837
0.0000 2.1382 8.2361
2.1382 0.0000 2.5837
2.1382 0.0000 8.2361
2.1382 2.1382 9.8544
2.1382 2.1382 1.3518

KMg2Te meta-GGA SCAN PBEsol geometry; energy = -13.90 eV/atom; total magnetic moment = 0.0 μB/cell
1.0
3.1881 -5.7075 0.0000
3.1881 5.7075 0.0000
0.0000 0.0000 3.3118
K Mg Te
1 2 1
Cartesian
0.0000 0.0000 0.0000
1.5941 2.8537 1.6559
1.5941 -2.8537 1.6559
3.1881 0.0000 0.0000

Q: Look up the energy of the first one.
A: -16.04 eV/atom

Repeat the first record exactly.
La2Al7Cu meta-GGA SCAN PBEsol geometry; energy = -16.04 eV/atom; energy of formation = -0.475 eV/atom; total magnetic moment = 0.0 μB/cell
1.0
4.2765 0.0000 0.0000
0.0000 4.2765 0.0000
0.0000 0.0000 10.8876
La Al Cu
2 7 1
Cartesian
0.0000 0.0000 0.0000
2.1382 2.1382 5.4156
0.0000 0.0000 4.1635
0.0000 0.0000 6.6952
0.0000 2.1382 2.5837
0.0000 2.1382 8.2361
2.1382 0.0000 2.5837
2.1382 0.0000 8.2361
2.1382 2.1382 9.8544
2.1382 2.1382 1.3518

Q: The lowest energy belongs to which entry?
A: La2Al7Cu